This record from Alexandria via LeMat-Bulk describes a relaxed LaErIn2Te4 crystal. The functional is PBE.

a b c (Å): 4.5013 8.5050 7.8160
angles (deg): 72.30 90.00 90.00
Last column: nearest neighbours and their distance in Å.
Fractional coordinates of all 8 atoms:
Te  0.0000  0.2750  0.2544  1 Er 3.10, 2 La 3.22, 2 In 3.39
Te  0.5000  0.7187  0.2727  2 Er 3.11, 1 La 3.23, 1 In 3.39
Te  0.5000  0.2813  0.7273  2 Er 3.11, 1 La 3.23, 1 In 3.39
Te  0.0000  0.7250  0.7456  1 Er 3.10, 2 La 3.22, 2 In 3.39
In  0.0000  0.0000  0.0000  6 Te 3.50
In  0.5000  0.0000  0.5000  6 Te 3.39
La  0.5000  0.5000  0.0000  6 Te 3.22-3.23
Er  0.0000  0.5000  0.5000  6 Te 3.10-3.11

Properties
Mass density in g/cm³: 6.1
Total magnetization in μB/f.u.: 0.0
SG: No. 10
Uncorrected formation energy in eV per atom: -1.004

This record from Alexandria via LeMat-Bulk describes a relaxed La2ErIn3Te6 crystal. The functional is PBE.

a b c (Å): 7.8770 7.8770 8.5115
angles (deg): 98.88 98.88 119.96
Last column: nearest neighbours and their distance in Å.
Fractional coordinates of all 12 atoms:
Er  0.0000  0.0000  0.0000  6 Te 3.10-3.12
La  0.3337  0.6663  0.0000  6 Te 3.23-3.24
La  0.6663  0.3337  0.0000  6 Te 3.23-3.24
Te  0.2446  0.2446  0.7739  1 Er 3.12, 2 La 3.24, 2 In 3.42
Te  0.6059  0.9260  0.7778  1 Er 3.10, 2 La 3.23, 2 In 3.42
Te  0.9260  0.6059  0.7778  1 Er 3.10, 2 La 3.23, 2 In 3.42
Te  0.0740  0.3941  0.2222  1 Er 3.10, 2 La 3.23, 2 In 3.42
Te  0.3941  0.0740  0.2222  1 Er 3.10, 2 La 3.23, 2 In 3.42
Te  0.7554  0.7554  0.2261  1 Er 3.12, 2 La 3.24, 2 In 3.42
In  0.1687  0.8313  0.5000  6 Te 3.42-3.52
In  0.5000  0.5000  0.5000  6 Te 3.42-3.52
In  0.8313  0.1687  0.5000  6 Te 3.42-3.52

Properties
Mass density in g/cm³: 5.9
Total magnetization in μB/f.u.: 0.0
SG: No. 12
Uncorrected formation energy in eV per atom: -1.026

This record from Alexandria via LeMat-Bulk describes a relaxed LaErTlIn crystal. The functional is PBE.

a b c (Å): 5.4650 5.4650 5.4650
angles (deg): 60.00 60.00 60.00
Last column: nearest neighbours and their distance in Å.
Fractional coordinates of all 4 atoms:
La  0.7500  0.7500  0.7500  4 Tl 3.35, 4 In 3.35
Tl  0.0000  0.0000  0.0000  4 Er 3.35, 4 La 3.35
In  0.5000  0.5000  0.5000  4 La 3.35, 4 Er 3.35
Er  0.2500  0.2500  0.2500  4 In 3.35, 4 Tl 3.35

Properties
Mass density in g/cm³: 9.0
Total magnetization in μB/f.u.: 0.0
ΔH_f (0 K) in eV per atom: -0.422
SG: No. 216

This record from Alexandria via LeMat-Bulk describes a relaxed La2Er2TmIn5 crystal. The functional is PBE.

a b c (Å): 4.6250 11.0471 11.0471
angles (deg): 90.00 90.00 90.00
Last column: nearest neighbours and their distance in Å.
Fractional coordinates of all 20 atoms:
In  0.5000  0.9390  0.1933  2 Er 3.14, 3 In 3.17-3.45, 2 Tm 3.22
In  0.5000  0.3067  0.5610  2 Er 3.14, 3 In 3.17-3.45, 2 Tm 3.22
In  0.5000  0.5000  0.0000  4 Er 3.03
In  0.5000  0.0610  0.8067  2 Er 3.14, 3 In 3.17-3.45, 2 Tm 3.22
In  0.5000  0.8067  0.9390  2 Er 3.14, 3 In 3.17-3.45, 2 Tm 3.22
In  0.5000  0.1933  0.0610  2 Er 3.14, 3 In 3.17-3.45, 2 Tm 3.22
In  0.5000  0.6933  0.4390  2 Er 3.14, 3 In 3.17-3.45, 2 Tm 3.22
In  0.5000  0.4390  0.3067  2 Er 3.14, 3 In 3.17-3.45, 2 Tm 3.22
In  0.5000  0.5610  0.6933  2 Er 3.14, 3 In 3.17-3.45, 2 Tm 3.22
In  0.5000  0.0000  0.5000  4 Er 3.03
Tm  0.0000  0.0000  0.0000  8 In 3.22
Tm  0.0000  0.5000  0.5000  8 In 3.22
La  0.0000  0.1764  0.3236  3 Er 3.10-3.38
La  0.0000  0.3236  0.8236  3 Er 3.10-3.38
La  0.0000  0.8236  0.6764  3 Er 3.10-3.38
La  0.0000  0.6764  0.1764  3 Er 3.10-3.38
Er  0.0000  0.8752  0.3752  6 In 3.03-3.14, 3 La 3.10-3.38
Er  0.0000  0.1248  0.6248  6 In 3.03-3.14, 3 La 3.10-3.38
Er  0.0000  0.6248  0.8752  6 In 3.03-3.14, 3 La 3.10-3.38
Er  0.0000  0.3752  0.1248  6 In 3.03-3.14, 3 La 3.10-3.38

Properties
Mass density in g/cm³: 8.0
Total magnetization in μB/f.u.: 0.0
ΔH_f (0 K) in eV per atom: -0.349
SG: No. 127

This record from Alexandria via LeMat-Bulk describes a relaxed La2ErTm2In5 crystal. The functional is PBE.

a b c (Å): 4.6402 11.0187 11.0187
angles (deg): 90.00 90.00 90.00
Last column: nearest neighbours and their distance in Å.
Fractional coordinates of all 20 atoms:
In  0.5000  0.4385  0.3055  2 Tm 3.14, 3 In 3.18-3.43, 2 Er 3.23
In  0.5000  0.0000  0.5000  4 Tm 3.02
In  0.5000  0.0615  0.8055  2 Tm 3.14, 3 In 3.18-3.43, 2 Er 3.23
In  0.5000  0.1945  0.0615  2 Tm 3.14, 3 In 3.18-3.43, 2 Er 3.23
In  0.5000  0.6945  0.4385  2 Tm 3.14, 3 In 3.18-3.43, 2 Er 3.23
In  0.5000  0.3055  0.5615  2 Tm 3.14, 3 In 3.18-3.43, 2 Er 3.23
In  0.5000  0.5615  0.6945  2 Tm 3.14, 3 In 3.18-3.43, 2 Er 3.23
In  0.5000  0.9385  0.1945  2 Tm 3.14, 3 In 3.18-3.43, 2 Er 3.23
In  0.5000  0.8055  0.9385  2 Tm 3.14, 3 In 3.18-3.43, 2 Er 3.23
In  0.5000  0.5000  0.0000  4 Tm 3.02
La  0.0000  0.8236  0.6764  3 Tm 3.11-3.36
La  0.0000  0.1764  0.3236  3 Tm 3.11-3.36
La  0.0000  0.6764  0.1764  3 Tm 3.11-3.36
La  0.0000  0.3236  0.8236  3 Tm 3.11-3.36
Tm  0.0000  0.1239  0.6239  6 In 3.02-3.14, 3 La 3.11-3.36
Tm  0.0000  0.3761  0.1239  6 In 3.02-3.14, 3 La 3.11-3.36
Tm  0.0000  0.6239  0.8761  6 In 3.02-3.14, 3 La 3.11-3.36
Tm  0.0000  0.8761  0.3761  6 In 3.02-3.14, 3 La 3.11-3.36
Er  0.0000  0.5000  0.5000  8 In 3.23
Er  0.0000  0.0000  0.0000  8 In 3.23

Properties
Mass density in g/cm³: 8.0
Total magnetization in μB/f.u.: 0.0
ΔH_f (0 K) in eV per atom: -0.352
SG: No. 127

This record from Alexandria via LeMat-Bulk describes a relaxed LaErTm2In4 crystal. The functional is PBE.

a b c (Å): 5.3447 5.3447 9.3080
angles (deg): 73.32 73.32 60.00
Last column: nearest neighbours and their distance in Å.
Fractional coordinates of all 8 atoms:
In  0.3779  0.3779  0.8664  1 Er 3.22, 4 Tm 3.26-3.39, 3 La 3.30
In  0.1275  0.1275  0.6175  4 Tm 3.21-3.29, 3 Er 3.25, 1 La 3.36
In  0.8725  0.8725  0.3825  4 Tm 3.21-3.29, 3 Er 3.25, 1 La 3.36
In  0.6221  0.6221  0.1336  1 Er 3.22, 4 Tm 3.26-3.39, 3 La 3.30
La  0.0000  0.0000  0.0000  8 In 3.30-3.36
Tm  0.2494  0.2494  0.2519  8 In 3.21-3.39
Tm  0.7506  0.7506  0.7481  8 In 3.21-3.39
Er  0.5000  0.5000  0.5000  8 In 3.22-3.25

Properties
Mass density in g/cm³: 8.4
Total magnetization in μB/f.u.: 0.0
ΔH_f (0 K) in eV per atom: -0.444
SG: No. 166

This record from Alexandria via LeMat-Bulk describes a relaxed La2YEr2In5 crystal. The functional is PBE.

a b c (Å): 4.6619 11.0459 11.0459
angles (deg): 90.00 90.00 90.00
Last column: nearest neighbours and their distance in Å.
Fractional coordinates of all 20 atoms:
In  0.5000  0.0000  0.5000  4 Er 3.03
In  0.5000  0.8051  0.9378  2 Er 3.14, 3 In 3.20-3.44, 2 Y 3.25
In  0.5000  0.5000  0.0000  4 Er 3.03
In  0.5000  0.5622  0.6949  2 Er 3.14, 3 In 3.20-3.44, 2 Y 3.25
In  0.5000  0.9378  0.1949  2 Er 3.14, 3 In 3.20-3.44, 2 Y 3.25
In  0.5000  0.4378  0.3051  2 Er 3.14, 3 In 3.20-3.44, 2 Y 3.25
In  0.5000  0.1949  0.0622  2 Er 3.14, 3 In 3.20-3.44, 2 Y 3.25
In  0.5000  0.0622  0.8051  2 Er 3.14, 3 In 3.20-3.44, 2 Y 3.25
In  0.5000  0.3051  0.5622  2 Er 3.14, 3 In 3.20-3.44, 2 Y 3.25
In  0.5000  0.6949  0.4378  2 Er 3.14, 3 In 3.20-3.44, 2 Y 3.25
Er  0.0000  0.3756  0.1244  6 In 3.03-3.14, 3 La 3.12-3.37
Er  0.0000  0.8756  0.3756  6 In 3.03-3.14, 3 La 3.12-3.37
Er  0.0000  0.6244  0.8756  6 In 3.03-3.14, 3 La 3.12-3.37
Er  0.0000  0.1244  0.6244  6 In 3.03-3.14, 3 La 3.12-3.37
Y  0.0000  0.0000  0.0000  8 In 3.25
Y  0.0000  0.5000  0.5000  8 In 3.25
La  0.0000  0.8240  0.6760  3 Er 3.12-3.37
La  0.0000  0.6760  0.1760  3 Er 3.12-3.37
La  0.0000  0.3240  0.8240  3 Er 3.12-3.37
La  0.0000  0.1760  0.3240  3 Er 3.12-3.37

Properties
Mass density in g/cm³: 7.4
Total magnetization in μB/f.u.: 0.0
ΔH_f (0 K) in eV per atom: -0.370
SG: No. 127

This record from Alexandria via LeMat-Bulk describes a relaxed LaErZnIn crystal. The functional is PBE.

a b c (Å): 5.3356 5.3356 5.3356
angles (deg): 60.00 60.00 60.00
Last column: nearest neighbours and their distance in Å.
Fractional coordinates of all 4 atoms:
Zn  0.0000  0.0000  0.0000  4 Er 3.27, 4 La 3.27
In  0.5000  0.5000  0.5000  4 La 3.27, 4 Er 3.27
Er  0.7500  0.7500  0.7500  4 Zn 3.27, 4 In 3.27
La  0.2500  0.2500  0.2500  4 In 3.27, 4 Zn 3.27

Properties
Mass density in g/cm³: 7.5
Total magnetization in μB/f.u.: 0.0
ΔH_f (0 K) in eV per atom: -0.383
SG: No. 216

This record from Alexandria via LeMat-Bulk describes a relaxed LaErZn2In2 crystal. The functional is PBE.

a b c (Å): 4.7107 4.7107 7.5761
angles (deg): 90.00 90.00 120.00
Last column: nearest neighbours and their distance in Å.
Fractional coordinates of all 6 atoms:
Er  0.0000  0.0000  0.5000  6 Zn 3.14, 6 In 3.23
In  0.6667  0.3333  0.2701  3 Zn 2.73
In  0.3333  0.6667  0.7299  3 Zn 2.73
Zn  0.6667  0.3333  0.7070  3 In 2.73
Zn  0.3333  0.6667  0.2930  3 In 2.73
La  0.0000  0.0000  0.0000  6 In 3.40, 6 Zn 3.51, 2 Er 3.79

Properties
Mass density in g/cm³: 7.6
Total magnetization in μB/f.u.: 0.0
ΔH_f (0 K) in eV per atom: -0.453
SG: No. 164

This record from Alexandria via LeMat-Bulk describes a relaxed LaEr2Zn2In2 crystal. The functional is PBE.

a b c (Å): 4.7505 4.7505 9.6257
angles (deg): 75.71 75.71 60.00
Last column: nearest neighbours and their distance in Å.
Fractional coordinates of all 7 atoms:
In  0.2584  0.2584  0.2247  3 Zn 2.75
In  0.7416  0.7416  0.7753  3 Zn 2.75
La  0.0000  0.0000  0.0000  6 In 3.44, 6 Zn 3.58, 2 Er 3.61
Er  0.8695  0.8695  0.3916  3 Zn 3.04, 3 In 3.15, 3 Er 3.40
Er  0.1305  0.1305  0.6085  3 Zn 3.04, 3 In 3.15, 3 Er 3.40
Zn  0.4164  0.4164  0.7508  3 In 2.75, 3 Er 3.04
Zn  0.5836  0.5836  0.2492  3 In 2.75, 3 Er 3.04

Properties
Mass density in g/cm³: 7.7
Total magnetization in μB/f.u.: 0.0
ΔH_f (0 K) in eV per atom: -0.297
SG: No. 166

This record from Alexandria via LeMat-Bulk describes a relaxed Li4ErIn15 crystal. The functional is PBE.

a b c (Å): 4.5045 4.5045 23.5912
angles (deg): 90.00 90.00 90.00
Last column: nearest neighbours and their distance in Å.
Fractional coordinates of all 20 atoms:
In  0.5000  0.0000  0.3012  8 In 3.19-3.28, 4 Li 3.28-3.32
In  0.0000  0.5000  0.5000  8 In 3.19-3.24, 4 Li 3.22
In  0.5000  0.0000  0.8965  2 Li 3.16, 8 In 3.19-3.32, 2 Er 3.32
In  0.5000  0.5000  0.0000  4 Er 3.19, 8 In 3.32
In  0.5000  0.5000  0.2004  4 Li 3.19, 8 In 3.21-3.28
In  0.5000  0.0000  0.6988  8 In 3.19-3.28, 4 Li 3.28-3.32
In  0.0000  0.5000  0.1035  2 Li 3.16, 8 In 3.19-3.32, 2 Er 3.32
In  0.0000  0.5000  0.3012  8 In 3.19-3.28, 4 Li 3.28-3.32
In  0.0000  0.5000  0.6988  8 In 3.19-3.28, 4 Li 3.28-3.32
In  0.0000  0.5000  0.8965  2 Li 3.16, 8 In 3.19-3.32, 2 Er 3.32
In  0.5000  0.5000  0.5985  4 Li 3.19, 8 In 3.24-3.27
In  0.5000  0.0000  0.5000  8 In 3.19-3.24, 4 Li 3.22
In  0.5000  0.5000  0.4015  4 Li 3.19, 8 In 3.24-3.27
In  0.5000  0.5000  0.7996  4 Li 3.19, 8 In 3.21-3.28
In  0.5000  0.0000  0.1035  2 Li 3.16, 8 In 3.19-3.32, 2 Er 3.32
Li  0.0000  0.0000  0.5977  12 In 3.19-3.28
Li  0.0000  0.0000  0.8025  12 In 3.16-3.32
Li  0.0000  0.0000  0.4023  12 In 3.19-3.28
Li  0.0000  0.0000  0.1975  12 In 3.16-3.32
Er  0.0000  0.0000  0.0000  12 In 3.19-3.32

Properties
Mass density in g/cm³: 6.7
Total magnetization in μB/f.u.: 0.0
ΔH_f (0 K) in eV per atom: -0.173
SG: No. 123

This record from Alexandria via LeMat-Bulk describes a relaxed LiEr5In4 crystal. The functional is PBE.

a b c (Å): 3.6787 3.6787 19.0064
angles (deg): 90.00 90.00 90.00
Last column: nearest neighbours and their distance in Å.
Fractional coordinates of all 10 atoms:
Li  0.0000  0.0000  0.0000  8 Er 3.18
In  0.0000  0.0000  0.3988  8 Er 3.23-3.24
In  0.0000  0.0000  0.1943  8 Er 3.20-3.26
In  0.0000  0.0000  0.8057  8 Er 3.20-3.26
In  0.0000  0.0000  0.6012  8 Er 3.23-3.24
Er  0.5000  0.5000  0.2977  8 In 3.23-3.26
Er  0.5000  0.5000  0.0963  4 Li 3.18, 4 In 3.20
Er  0.5000  0.5000  0.7023  8 In 3.23-3.26
Er  0.5000  0.5000  0.9037  4 Li 3.18, 4 In 3.20
Er  0.5000  0.5000  0.5000  8 In 3.24

Properties
Mass density in g/cm³: 8.4
Total magnetization in μB/f.u.: 0.0
ΔH_f (0 K) in eV per atom: -0.339
SG: No. 123